[1]
# NbAs2BrCl

A relaxed structure of NbAs2BrCl (PBE, Alexandria via LeMat-Bulk).

Cell and atoms, written as POSCAR:
```
NbAs2BrCl
1.0
5.055 0.000 0.000
0.000 5.055 0.000
0.000 0.000 5.096
Cl Br As Nb
1 1 2 1
Direct
0.500 0.500 0.500
0.000 0.000 0.500
0.000 0.500 0.000
0.500 0.000 0.000
0.000 0.000 0.000
```

Computed properties:
For the final energy, the calculation gives -4.50 eV per atom. As for the symmetry: P4/mmm, No. 123. The spin magnetization comes out at 0.00 μB per cell. The calculation puts the energy relative to the elements, uncorrected at 76 meV/atom. As for the energy above the most stable polymorph in this dataset: 0.00 kcal/mol of atoms. The calculation puts the theoretical density at 4.57 g cm⁻³.

[2]
# NiAs2BrCl

A relaxed structure of NiAs2BrCl (PBE, Alexandria via LeMat-Bulk).

Cell and atoms, written as POSCAR:
```
NiAs2BrCl
1.0
4.686 0.000 0.000
0.000 4.686 0.000
0.000 0.000 4.911
Ni As Cl Br
1 2 1 1
Direct
0.000 0.000 0.000
0.500 0.000 0.000
0.000 0.500 0.000
0.500 0.500 0.500
0.000 0.000 0.500
```

Computed properties:
For the final energy, the calculation gives -3.40 eV per atom. As for the symmetry: P4/mmm, No. 123. The spin magnetization comes out at 0.00 μB per cell. The calculation puts the energy relative to the elements, uncorrected at 319 meV/atom. As for the energy above the most stable polymorph in this dataset: 0.00 kcal/mol of atoms. The calculation puts the theoretical density at 4.99 g cm⁻³.

[3]
# NiAs2BrCl

A relaxed structure of NiAs2BrCl (PBE, Alexandria via LeMat-Bulk).

Cell and atoms, written as POSCAR:
```
NiAs2BrCl
1.0
-4.721 0.189 0.084
-0.206 -4.488 -1.465
0.029 -2.000 6.123
As Br Cl Ni
2 1 1 1
Direct
0.000 0.500 0.000
0.500 0.000 0.000
0.000 0.000 0.500
0.000 0.000 0.000
0.500 0.500 0.500
```

Computed properties:
For the final energy, the calculation gives -2.44 eV per atom. As for the symmetry: P4/mmm, No. 123. The spin magnetization comes out at 2.64 μB per cell. The calculation puts the energy relative to the elements, uncorrected at 1275 meV/atom. As for the energy above the most stable polymorph in this dataset: 22.05 kcal/mol of atoms. The calculation puts the theoretical density at 3.74 g cm⁻³.

[4]
# AsBr2ClO

A relaxed structure of AsBr2ClO (PBE, Alexandria via LeMat-Bulk).

Cell and atoms, written as POSCAR:
```
AsBr2ClO
1.0
5.264 0.000 0.000
0.000 5.264 0.000
0.000 0.000 5.112
As Br Cl O
1 2 1 1
Direct
0.000 0.000 0.500
0.000 0.500 0.000
0.500 0.000 0.000
0.000 0.000 0.000
0.500 0.500 0.500
```

Computed properties:
For the final energy, the calculation gives -1.73 eV per atom. As for the symmetry: P4/mmm, No. 123. The spin magnetization comes out at 2.00 μB per cell. The calculation puts the energy relative to the elements, uncorrected at 1230 meV/atom. As for the energy above the most stable polymorph in this dataset: 17.36 kcal/mol of atoms. The calculation puts the theoretical density at 3.35 g cm⁻³.

[5]
# As2BrClO

A relaxed structure of As2BrClO (PBE, Alexandria via LeMat-Bulk).

Cell and atoms, written as POSCAR:
```
As2BrClO
1.0
-0.886 -4.848 0.166
4.848 -0.879 0.195
-0.210 0.258 6.403
As Cl Br O
2 1 1 1
Direct
0.000 0.500 0.000
0.500 0.000 0.000
0.000 0.000 0.000
0.000 0.000 0.500
0.500 0.500 0.500
```

Computed properties:
For the final energy, the calculation gives -2.20 eV per atom. As for the symmetry: P4/mmm, No. 123. The spin magnetization comes out at 4.78 μB per cell. The calculation puts the energy relative to the elements, uncorrected at 1357 meV/atom. As for the energy above the most stable polymorph in this dataset: 19.29 kcal/mol of atoms. The calculation puts the theoretical density at 3.00 g cm⁻³.

[6]
# As2BrClO

A relaxed structure of As2BrClO (PBE, Alexandria via LeMat-Bulk).

Cell and atoms, written as POSCAR:
```
As2BrClO
1.0
4.496 0.000 0.000
0.000 4.496 0.000
0.000 0.000 4.863
As O Cl Br
2 1 1 1
Direct
0.000 0.500 0.000
0.500 0.000 0.000
0.000 0.000 0.000
0.500 0.500 0.500
0.000 0.000 0.500
```

Computed properties:
For the final energy, the calculation gives -3.03 eV per atom. As for the symmetry: P4/mmm, No. 123. The spin magnetization comes out at 0.00 μB per cell. The calculation puts the energy relative to the elements, uncorrected at 521 meV/atom. As for the energy above the most stable polymorph in this dataset: 0.00 kcal/mol of atoms. The calculation puts the theoretical density at 4.75 g cm⁻³.

[7]
# AsBr2ClO

A relaxed structure of AsBr2ClO (PBE, Alexandria via LeMat-Bulk).

Cell and atoms, written as POSCAR:
```
AsBr2ClO
1.0
6.193 0.000 0.000
0.000 6.193 0.000
0.000 0.000 3.657
O Cl Br As
1 1 2 1
Direct
0.000 0.000 0.000
0.500 0.500 0.500
0.000 0.500 0.000
0.500 0.000 0.000
0.000 0.000 0.500
```

Computed properties:
For the final energy, the calculation gives -2.48 eV per atom. As for the symmetry: P4/mmm, No. 123. The spin magnetization comes out at 2.02 μB per cell. The calculation puts the energy relative to the elements, uncorrected at 477 meV/atom. As for the energy above the most stable polymorph in this dataset: 0.00 kcal/mol of atoms. The calculation puts the theoretical density at 3.39 g cm⁻³.

[8]
# AsOsBr2Cl

A relaxed structure of AsOsBr2Cl (PBE, Alexandria via LeMat-Bulk).

Cell and atoms, written as POSCAR:
```
AsOsBr2Cl
1.0
5.041 0.000 0.000
0.000 5.041 0.000
0.000 0.000 5.301
Os Br As Cl
1 2 1 1
Direct
0.500 0.500 0.500
0.000 0.500 0.000
0.500 0.000 0.000
0.000 0.000 0.500
0.000 0.000 0.000
```

Computed properties:
For the final energy, the calculation gives -2.40 eV per atom. As for the symmetry: P4/mmm, No. 123. The spin magnetization comes out at 3.86 μB per cell. The calculation puts the energy relative to the elements, uncorrected at 1817 meV/atom. As for the energy above the most stable polymorph in this dataset: 31.06 kcal/mol of atoms. The calculation puts the theoretical density at 5.68 g cm⁻³.

[9]
# As2OsBrCl

A relaxed structure of As2OsBrCl (PBE, Alexandria via LeMat-Bulk).

Cell and atoms, written as POSCAR:
```
As2OsBrCl
1.0
-0.052 -0.232 -4.907
-4.900 -0.352 0.068
-0.349 4.823 -0.224
As Os Cl Br
2 1 1 1
Direct
0.000 0.500 0.000
0.500 0.000 0.000
0.500 0.500 0.500
0.000 0.000 0.000
0.000 0.000 0.500
```

Computed properties:
For the final energy, the calculation gives -2.92 eV per atom. As for the symmetry: P4/mmm, No. 123. The spin magnetization comes out at 2.39 μB per cell. The calculation puts the energy relative to the elements, uncorrected at 1892 meV/atom. As for the energy above the most stable polymorph in this dataset: 33.36 kcal/mol of atoms. The calculation puts the theoretical density at 6.47 g cm⁻³.

[10]
# AsOsBr2Cl

A relaxed structure of AsOsBr2Cl (PBE, Alexandria via LeMat-Bulk).

Cell and atoms, written as POSCAR:
```
AsOsBr2Cl
1.0
-0.362 0.430 -5.077
2.662 -4.324 -0.556
-4.037 -2.496 0.077
Os Cl As Br
1 1 1 2
Direct
0.000 0.000 0.000
0.500 0.500 0.500
0.000 0.000 0.500
0.500 0.000 0.000
0.000 0.500 0.000
```

Computed properties:
For the final energy, the calculation gives -3.74 eV per atom. As for the symmetry: P4/mmm, No. 123. The spin magnetization comes out at 0.00 μB per cell. The calculation puts the energy relative to the elements, uncorrected at 470 meV/atom. As for the energy above the most stable polymorph in this dataset: 0.00 kcal/mol of atoms. The calculation puts the theoretical density at 6.17 g cm⁻³.

[11]
# As2OsBrCl

A relaxed structure of As2OsBrCl (PBE, Alexandria via LeMat-Bulk).

Cell and atoms, written as POSCAR:
```
As2OsBrCl
1.0
4.766 0.000 0.000
0.000 4.766 0.000
0.000 0.000 5.248
As Br Os Cl
2 1 1 1
Direct
0.500 0.000 0.000
0.000 0.500 0.000
0.000 0.000 0.500
0.000 0.000 0.000
0.500 0.500 0.500
```

Computed properties:
For the final energy, the calculation gives -4.36 eV per atom. As for the symmetry: P4/mmm, No. 123. The spin magnetization comes out at 0.00 μB per cell. The calculation puts the energy relative to the elements, uncorrected at 446 meV/atom. As for the energy above the most stable polymorph in this dataset: 0.00 kcal/mol of atoms. The calculation puts the theoretical density at 6.34 g cm⁻³.

[12]
# As2PBrCl

A relaxed structure of As2PBrCl (PBE, Alexandria via LeMat-Bulk).

Cell and atoms, written as POSCAR:
```
As2PBrCl
1.0
5.080 0.000 0.000
0.000 5.080 0.000
0.000 0.000 4.977
Cl P As Br
1 1 2 1
Direct
0.000 0.000 0.000
0.500 0.500 0.500
0.000 0.500 0.000
0.500 0.000 0.000
0.000 0.000 0.500
```

Computed properties:
For the final energy, the calculation gives -2.32 eV per atom. As for the symmetry: P4/mmm, No. 123. The spin magnetization comes out at 0.12 μB per cell. The calculation puts the energy relative to the elements, uncorrected at 1323 meV/atom. As for the energy above the most stable polymorph in this dataset: 17.12 kcal/mol of atoms. The calculation puts the theoretical density at 3.83 g cm⁻³.

[13]
# As2PBrCl

A relaxed structure of As2PBrCl (PBE, Alexandria via LeMat-Bulk).

Cell and atoms, written as POSCAR:
```
As2PBrCl
1.0
4.935 0.000 0.000
0.000 4.935 0.000
0.000 0.000 5.003
P As Cl Br
1 2 1 1
Direct
0.000 0.000 0.000
0.000 0.500 0.000
0.500 0.000 0.000
0.500 0.500 0.500
0.000 0.000 0.500
```

Computed properties:
For the final energy, the calculation gives -3.07 eV per atom. As for the symmetry: P4/mmm, No. 123. The spin magnetization comes out at 1.17 μB per cell. The calculation puts the energy relative to the elements, uncorrected at 580 meV/atom. As for the energy above the most stable polymorph in this dataset: 0.00 kcal/mol of atoms. The calculation puts the theoretical density at 4.04 g cm⁻³.

[14]
# AsPBr2Cl

A relaxed structure of AsPBr2Cl (PBE, Alexandria via LeMat-Bulk).

Cell and atoms, written as POSCAR:
```
AsPBr2Cl
1.0
5.289 0.000 0.000
0.000 4.769 0.000
0.000 0.000 5.289
Cl As P Br
1 1 1 2
Direct
0.000 0.000 0.000
0.500 0.500 0.500
0.000 0.500 0.000
0.500 0.000 0.000
0.000 0.000 0.500
```

Computed properties:
For the final energy, the calculation gives -1.90 eV per atom. As for the symmetry: P4/mmm, No. 123. The spin magnetization comes out at 0.59 μB per cell. The calculation puts the energy relative to the elements, uncorrected at 1155 meV/atom. As for the energy above the most stable polymorph in this dataset: 18.01 kcal/mol of atoms. The calculation puts the theoretical density at 3.75 g cm⁻³.

| no. | DOS at the Fermi energy (states/eV per cell) |
| --- | --- |
| 1 | 4.47 |
| 2 | 3.16 |
| 3 | 7.13 |
| 4 | 6.67 |
| 5 | 7.64 |
| 6 | 4.08 |
| 7 | 6.07 |
| 8 | 5.11 |
| 9 | 4.34 |
| 10 | 4.25 |
| 11 | 4.99 |
| 12 | 3.46 |
| 13 | 4.14 |
| 14 | 4.02 |